1.
4
Lattice="3.252 0.000 0.000 0.000 3.252 0.000 0.000 0.000 8.502" Properties=species:S:1:pos:R:3 comment="Y2ThO | the Alexandria database | PBE-GGA | optimized geometry" space_group=P4/mmm polymorph_energy_kj_per_mol_fu=141.9 pbc="T T T"
Y 0.000 0.000 1.534
Y 0.000 0.000 6.968
Th 1.626 1.626 4.251
O 1.626 1.626 0.000

2.
4
Lattice="1.727 0.997 9.462 -1.727 0.997 9.462 0.000 -1.994 9.462" Properties=species:S:1:pos:R:3 comment="Y2ThO | the Alexandria database | PBE-GGA | optimized geometry" space_group=R-3m polymorph_energy_kj_per_mol_fu=0.0 pbc="T T T"
Y 0.000 0.000 3.388
Y 0.000 0.000 24.999
Th 0.000 0.000 0.000
O 0.000 0.000 14.194

3.
30
Lattice="6.864 0.000 0.000 -2.289 7.587 0.000 -1.142 -2.411 8.446" Properties=species:S:1:pos:R:3 comment="YTh9O20 | the Alexandria database | PBE-GGA | optimized geometry" space_group=P-1 dft_energy_ev_per_cell=-285.7 pbc="T T T"
Y 0.000 0.000 0.000
Th -1.144 3.794 0.000
Th 0.002 2.062 3.357
Th -1.146 5.873 3.355
Th 1.125 0.330 6.766
Th -0.002 4.150 6.772
Th 3.435 1.026 1.674
Th 2.308 4.846 1.681
Th 4.578 -0.697 5.092
Th 3.431 3.114 5.089
O -1.147 -0.340 7.180
O -2.284 3.447 7.178
O -0.002 -0.004 4.640
O -1.145 3.799 4.637
O 1.147 0.348 2.108
O 0.008 4.142 2.105
O 1.145 -1.722 8.022
O 0.005 2.072 8.028
O 2.284 -1.376 5.488
O 1.138 2.410 5.490
O 2.294 2.766 2.957
O 1.149 6.552 2.958
O 3.428 3.104 0.419
O 2.287 6.898 0.424
O 3.424 1.034 6.341
O 2.285 4.828 6.338
O 4.577 1.377 3.810
O 3.435 5.179 3.806
O 5.716 1.728 1.269
O 4.579 5.516 1.267

4.
6
Lattice="3.756 0.000 0.000 0.000 3.756 0.000 0.000 0.000 6.214" Properties=species:S:1:pos:R:3 comment="YThO4 | the Alexandria database | PBE-GGA | optimized geometry" space_group=P4/mmm dft_energy_ev_per_cell=-50.8 pbc="T T T"
Y 0.000 0.000 0.000
Th 0.000 0.000 3.107
O 0.000 1.878 1.560
O 0.000 1.878 4.653
O 1.878 0.000 1.560
O 1.878 0.000 4.653

5.
15
Lattice="-4.417 4.417 2.793 4.417 -4.417 2.793 4.417 4.417 -2.793" Properties=species:S:1:pos:R:3 comment="YTh4O10 | the Alexandria database | PBE-GGA | optimized geometry" space_group=I4/m polymorph_energy_kj_per_mol_fu=0.0 pbc="T T T"
Y 0.000 0.000 0.000
Th 3.524 1.783 0.000
Th 2.634 -0.893 2.793
Th 1.783 5.310 0.000
Th 0.893 2.634 2.793
O 5.297 2.652 -1.397
O 2.652 3.538 -1.397
O 4.417 0.000 1.396
O 1.765 0.880 1.396
O -0.880 1.765 1.396
O 5.297 2.652 1.397
O 2.652 3.538 1.397
O 0.000 4.417 1.396
O 1.765 0.880 4.190
O -0.880 1.765 4.190

6.
15
Lattice="1.980 1.143 16.073 -1.980 1.143 16.073 0.000 -2.287 16.073" Properties=species:S:1:pos:R:3 comment="YTh4O10 | the Alexandria database | PBE-GGA | optimized geometry" space_group=R-3m polymorph_energy_kj_per_mol_fu=6.0 pbc="T T T"
Y 0.000 0.000 0.000
Th 0.000 0.000 9.666
Th 0.000 0.000 19.217
Th 0.000 0.000 29.002
Th 0.000 0.000 38.553
O 0.000 0.000 2.369
O 0.000 0.000 7.225
O 0.000 0.000 12.096
O 0.000 0.000 16.829
O 0.000 0.000 21.670
O 0.000 0.000 26.549
O 0.000 0.000 31.390
O 0.000 0.000 36.123
O 0.000 0.000 40.994
O 0.000 0.000 45.850